Entry from Alexandria via LeMat-Bulk: a relaxed Co2Mo crystal (PBE).

Computed properties:
As for the calculated formation energy: 0.0562 eV per atom. For the volume, the calculation gives 12.111 A^3/atom. The calculation puts the total energy at -8.291 eV per atom. The density of states at the Fermi level is 16.63 states/eV/cell.

Cell: 3.634 3.634 11.298 Å, 99.26 99.26 90.00°
Fractional coordinates of all 12 atoms:
Mo: 0.080 0.080 0.160
Mo: 0.920 0.920 0.840
Mo: 0.330 0.830 0.660
Mo: 0.170 0.670 0.340
Co: 0.251 0.251 0.501
Co: 0.749 0.749 0.499
Co: 0.501 0.001 0.001
Co: 0.999 0.499 0.999
Co: 0.419 0.419 0.837
Co: 0.581 0.581 0.163
Co: 0.669 0.169 0.337
Co: 0.831 0.331 0.663

Entry from Alexandria via LeMat-Bulk: a relaxed DyHo2Er2Sc2 crystal (PBE).

Computed properties:
As for the calculated formation energy: 0.1087 eV per atom. For the volume, the calculation gives 29.504 A^3/atom. The calculation puts the total energy at -4.969 eV per atom. The density of states at the Fermi level is 12.69 states/eV/cell.

Cell: 3.400 5.855 11.456 Å, 71.99 90.00 106.88°
Fractional coordinates of all 7 atoms:
Dy: 0.000 0.000 0.500
Ho: 0.671 0.342 0.913
Ho: 0.329 0.658 0.087
Er: 0.451 0.903 0.769
Er: 0.549 0.097 0.231
Sc: 0.773 0.547 0.365
Sc: 0.227 0.453 0.635

Entry from Alexandria via LeMat-Bulk: a relaxed Sc2InH crystal (PBE).

Computed properties:
For the volume, the calculation gives 19.840 A^3/atom. The calculation puts the total energy at -4.791 eV per atom. As for the energy relative to the lowest polymorph listed for this composition: 1.295 eV per formula unit. The density of states at the Fermi level is 3.76 states/eV/cell.

Cell: 8.651 8.651 8.651 Å, 21.96 21.96 21.96°
Fractional coordinates of all 4 atoms:
Sc: 0.881 0.881 0.881
Sc: 0.119 0.119 0.119
H: 0.500 0.500 0.500
In: 0.000 0.000 0.000

Entry from Alexandria via LeMat-Bulk: a relaxed Ta6Mn5Ru crystal (PBE).

Computed properties:
As for the calculated formation energy: -0.2687 eV per atom. For the volume, the calculation gives 14.650 A^3/atom. The calculation puts the total energy at -10.789 eV per atom. The density of states at the Fermi level is 2.77 states/eV/cell.

Cell: 4.365 6.167 7.545 Å, 114.12 106.81 90.00°
Fractional coordinates of all 12 atoms:
Ru: 0.000 0.000 0.000
Mn: 0.667 0.167 0.333
Mn: 0.333 0.333 0.667
Mn: 0.000 0.500 0.000
Mn: 0.667 0.667 0.333
Mn: 0.333 0.833 0.667
Ta: 0.831 0.578 0.661
Ta: 0.831 0.084 0.661
Ta: 0.500 0.744 0.000
Ta: 0.500 0.256 0.000
Ta: 0.169 0.916 0.339
Ta: 0.169 0.422 0.339

Entry from Alexandria via LeMat-Bulk: a relaxed ZnTePb2I crystal (PBE).

Computed properties:
For the volume, the calculation gives 40.308 A^3/atom. The calculation puts the total energy at -2.113 eV per atom. The density of states at the Fermi level is 5.73 states/eV/cell.

Cell: 6.116 5.389 6.116 Å, 90.00 90.00 90.00°
Fractional coordinates of all 5 atoms:
Pb: 0.000 0.000 0.500
Pb: 0.500 0.000 0.000
I: 0.000 0.000 0.000
Zn: 0.000 0.500 0.000
Te: 0.500 0.500 0.500

Entry from Alexandria via LeMat-Bulk: a relaxed AcLa2Pm2Sm2 crystal (PBE).

Computed properties:
As for the calculated formation energy: 0.0309 eV per atom. For the volume, the calculation gives 36.532 A^3/atom. The calculation puts the total energy at -4.670 eV per atom. The density of states at the Fermi level is 13.24 states/eV/cell.

Cell: 5.269 6.461 8.310 Å, 97.38 90.00 114.06°
Fractional coordinates of all 7 atoms:
Ac: 0.000 0.000 0.000
La: 0.715 0.430 0.148
La: 0.285 0.570 0.852
Pm: 0.142 0.284 0.431
Pm: 0.858 0.716 0.569
Sm: 0.574 0.148 0.706
Sm: 0.426 0.852 0.294

Entry from Alexandria via LeMat-Bulk: a relaxed RbTmSnSe3 crystal (PBE).

Computed properties:
For the volume, the calculation gives 35.208 A^3/atom. The calculation puts the total energy at -4.495 eV per atom.

Cell: 4.084 9.010 11.789 Å, 90.00 90.00 103.10°
Fractional coordinates of all 12 atoms:
Rb: 0.691 0.381 0.750
Rb: 0.309 0.619 0.250
Tm: 0.000 0.000 0.500
Tm: 0.000 0.000 0.000
Sn: 0.387 0.774 0.750
Sn: 0.613 0.226 0.250
Se: 0.610 0.220 0.498
Se: 0.390 0.780 0.502
Se: 0.390 0.780 0.998
Se: 0.610 0.220 0.002
Se: 0.993 0.987 0.750
Se: 0.007 0.013 0.250

Entry from Alexandria via LeMat-Bulk: a relaxed KZnInSn2 crystal (PBE).

Computed properties:
As for the calculated formation energy: -0.1198 eV per atom. For the volume, the calculation gives 29.581 A^3/atom. The calculation puts the total energy at -2.743 eV per atom. The density of states at the Fermi level is 1.40 states/eV/cell.

Cell: 4.979 4.979 6.928 Å, 111.06 111.06 90.00°
Fractional coordinates of all 5 atoms:
K: 0.000 0.000 0.000
Zn: 0.250 0.750 0.500
In: 0.750 0.250 0.500
Sn: 0.621 0.621 0.243
Sn: 0.379 0.379 0.757

Entry from Alexandria via LeMat-Bulk: a relaxed CuHgPb crystal (PBE).

Computed properties:
As for the calculated formation energy: 0.2138 eV per atom. For the volume, the calculation gives 23.133 A^3/atom. The calculation puts the total energy at -2.488 eV per atom. As for the energy relative to the lowest polymorph listed for this composition: 0.298 eV per formula unit. The density of states at the Fermi level is 0.75 states/eV/cell.

Cell: 4.659 4.659 3.693 Å, 90.00 90.00 120.00°
Fractional coordinates of all 3 atoms:
Cu: 0.000 0.000 0.136
Hg: 0.333 0.667 0.183
Pb: 0.667 0.333 0.681